Material: Ba2Na3Au
Method: DFT, PBE-GGA
State: optimized geometry

Summary:
Symmetry: No. 25

```
6
Lattice="4.544 0.000 0.000 0.000 5.390 0.000 0.000 0.000 9.883" Properties=species:S:1:pos:R:3 pbc="T T T"
Ba 0.000 0.000 0.000
Ba 0.000 2.695 3.855
Na 2.272 0.000 5.758
Na 2.272 2.695 1.071
Na 2.272 2.695 7.607
Au 2.272 0.000 2.629
```


Material: BaNa4Au2
Method: DFT, PBE-GGA
State: optimized geometry

Summary:
Symmetry: No. 136

```
14
Lattice="9.202 0.000 0.000 0.000 9.202 0.000 0.000 0.000 4.867" Properties=species:S:1:pos:R:3 pbc="T T T"
Ba 0.000 0.000 0.000
Ba 4.601 4.601 2.433
Na 0.885 3.115 2.433
Na 1.486 5.486 0.000
Na 3.115 0.885 2.433
Na 3.716 7.716 0.000
Na 5.486 1.486 0.000
Na 6.088 8.318 2.433
Na 7.716 3.716 0.000
Na 8.318 6.088 2.433
Au 1.886 7.316 2.433
Au 2.715 2.715 0.000
Au 6.487 6.487 0.000
Au 7.316 1.886 2.433
```


Material: Ba2Na2Au
Method: DFT, PBE-GGA
State: optimized geometry

Summary:
Symmetry: No. 127

```
10
Lattice="8.750 0.000 0.000 0.000 8.750 0.000 0.000 0.000 6.306" Properties=species:S:1:pos:R:3 pbc="T T T"
Ba 1.508 2.867 0.000
Ba 2.867 7.242 0.000
Ba 5.883 1.508 0.000
Ba 7.242 5.883 0.000
Na 1.249 5.623 3.153
Na 3.126 1.249 3.153
Na 5.623 7.501 3.153
Na 7.501 3.126 3.153
Au 0.000 0.000 0.000
Au 4.375 4.375 0.000
```


Material: Ba2NaAu2
Method: DFT, PBE-GGA
State: optimized geometry

Summary:
Symmetry: No. 139

```
10
Lattice="5.061 0.000 0.000 0.000 5.061 0.000 0.000 0.000 17.368" Properties=species:S:1:pos:R:3 pbc="T T T"
Ba 0.000 0.000 2.353
Ba 0.000 0.000 15.015
Ba 2.531 2.531 6.331
Ba 2.531 2.531 11.037
Na 0.000 0.000 8.684
Na 2.531 2.531 0.000
Au 0.000 2.531 4.342
Au 0.000 2.531 13.026
Au 2.531 0.000 4.342
Au 2.531 0.000 13.026
```


Material: Ba7Na2Au
Method: DFT, PBE-GGA
State: optimized geometry

Summary:
Symmetry: No. 15

```
20
Lattice="9.356 -5.261 0.000 9.356 5.261 0.000 -9.327 0.000 10.792" Properties=species:S:1:pos:R:3 pbc="T T T"
Ba 2.360 4.549 8.094
Ba 4.934 1.896 2.138
Ba 1.382 1.178 5.022
Ba -0.571 1.876 9.578
Ba 5.291 1.876 6.611
Ba -3.281 -1.178 10.418
Ba 9.113 1.896 3.258
Ba 0.271 -1.896 7.534
Ba 12.665 1.178 0.375
Ba 4.093 -1.876 4.182
Ba 9.955 -1.876 1.215
Ba 8.002 -1.178 5.771
Ba 4.450 -1.896 8.655
Ba 7.024 -4.549 2.698
Na -3.044 0.439 6.550
Na 1.620 -0.439 1.154
Na 7.764 0.439 9.638
Na 12.428 -0.439 4.242
Au 2.360 0.915 8.094
Au 7.024 -0.915 2.698
```


Material: Ba2NaAu2
Method: DFT, PBE-GGA
State: optimized geometry

Summary:
Symmetry: No. 139

```
10
Lattice="6.368 0.000 0.000 0.000 6.368 0.000 0.000 0.000 9.199" Properties=species:S:1:pos:R:3 pbc="T T T"
Ba 0.000 3.184 2.300
Ba 0.000 3.184 6.899
Ba 3.184 0.000 2.300
Ba 3.184 0.000 6.899
Na 0.000 0.000 0.000
Na 3.184 3.184 4.599
Au 0.000 0.000 3.210
Au 0.000 0.000 5.989
Au 3.184 3.184 1.390
Au 3.184 3.184 7.809
```


Material: BaNaAu2
Method: DFT, PBE-GGA
State: optimized geometry

Summary:
Symmetry: No. 71

```
8
Lattice="4.570 0.000 0.000 0.000 4.590 0.000 0.000 0.000 11.663" Properties=species:S:1:pos:R:3 pbc="T T T"
Ba 0.000 0.000 0.000
Ba 2.285 2.295 5.831
Na 0.000 0.000 5.831
Na 2.285 2.295 0.000
Au 0.000 0.000 3.187
Au 0.000 0.000 8.475
Au 2.285 2.295 2.644
Au 2.285 2.295 9.019
```


Material: BaNaAu2
Method: DFT, PBE-GGA
State: optimized geometry

Summary:
Symmetry: No. 123

```
4
Lattice="5.365 0.000 0.000 0.000 5.365 0.000 0.000 0.000 3.980" Properties=species:S:1:pos:R:3 pbc="T T T"
Ba 0.000 0.000 0.000
Na 2.682 2.682 0.000
Au 0.000 2.682 1.990
Au 2.682 0.000 1.990
```


Material: Ba4NaAu3
Method: DFT, PBE-GGA
State: optimized geometry

Summary:
Symmetry: No. 25

```
8
Lattice="4.592 0.000 0.000 0.000 5.113 0.000 0.000 0.000 12.719" Properties=species:S:1:pos:R:3 pbc="T T T"
Ba 0.000 0.000 0.000
Ba 0.000 2.557 3.201
Ba 2.296 0.000 5.941
Ba 2.296 2.557 9.748
Na 0.000 0.000 8.692
Au 0.000 2.557 6.974
Au 2.296 0.000 2.562
Au 2.296 2.557 0.525
```


Material: BaNaAu2
Method: DFT, PBE-GGA
State: optimized geometry

Summary:
Symmetry: No. 166

```
12
Lattice="5.030 0.000 0.000 -2.515 4.356 0.000 0.000 0.000 15.889" Properties=species:S:1:pos:R:3 pbc="T T T"
Ba 0.000 0.000 0.000
Ba 0.000 2.904 10.592
Ba 2.515 1.452 5.296
Na 0.000 0.000 7.944
Na 0.000 2.904 2.648
Na 2.515 1.452 13.241
Au 0.000 0.000 3.408
Au 0.000 0.000 12.481
Au 0.000 2.904 7.185
Au 0.000 2.904 14.000
Au 2.515 1.452 1.888
Au 2.515 1.452 8.704
```


Material: Ba8NaAu5
Method: DFT, PBE-GGA
State: optimized geometry

Summary:
Symmetry: No. 8

```
14
Lattice="12.247 -2.398 0.000 12.247 2.398 0.000 -2.757 0.000 11.288" Properties=species:S:1:pos:R:3 pbc="T T T"
Ba 0.000 0.000 0.000
Ba 2.778 0.000 7.745
Ba 5.333 0.000 3.935
Ba 8.215 0.000 0.217
Ba 10.759 0.000 7.542
Ba 13.652 0.000 3.827
Ba 16.197 0.000 0.014
Ba 18.976 0.000 7.761
Na 21.748 0.000 3.879
Au -0.120 0.000 9.319
Au 2.672 0.000 1.989
Au 8.108 0.000 9.525
Au 16.311 0.000 5.773
Au 16.337 0.000 9.729
```


Material: BaNaAu10
Method: DFT, PBE-GGA
State: optimized geometry

Summary:
Symmetry: No. 47

```
12
Lattice="4.653 0.000 0.000 0.000 5.680 0.000 0.000 0.000 9.979" Properties=species:S:1:pos:R:3 pbc="T T T"
Ba 0.000 0.000 0.000
Na 0.000 2.840 4.990
Au 0.000 0.000 3.424
Au 0.000 0.000 6.555
Au 0.000 2.840 1.828
Au 0.000 2.840 8.151
Au 2.326 0.000 4.990
Au 2.326 1.410 2.503
Au 2.326 1.410 7.477
Au 2.326 2.840 0.000
Au 2.326 4.271 2.503
Au 2.326 4.271 7.477
```


no.,magnetic moment (Bohr magnetons per cell),DFT total energy (eV/atom)
1,0.0,-2.032
2,0.0,-2.285
3,0.0,-2.053
4,0.0,-2.639
5,0.0,-2.065
6,0.0,-2.777
7,0.0,-2.260
8,0.0,-2.946
9,0.0,-2.869
10,0.0,-3.010
11,0.0,-2.879
12,0.0,-3.328